# AlOsRh2 | Alexandria | PBE | optimized geometry
# space-group type	No. 123
data_AlOsRh2
_cell_length_a 2.759
_cell_length_b 2.759
_cell_length_c 7.370
_cell_angle_alpha 90.00
_cell_angle_beta 90.00
_cell_angle_gamma 90.00
_space_group_name_H-M_alt 'P 1'
_space_group_IT_number 1
loop_
_space_group_symop_operation_xyz
'x,y,z'
loop_
_atom_site_label
_atom_site_fract_x
_atom_site_fract_y
_atom_site_fract_z
Al1 0.000 0.000 0.000
Os1 0.000 0.000 0.500
Rh1 0.500 0.500 0.245
Rh2 0.500 0.500 0.755


# AlOsRh2 | Alexandria | PBE | optimized geometry
# space-group type	No. 25
data_AlOsRh2
_cell_length_a 2.751
_cell_length_b 4.358
_cell_length_c 4.704
_cell_angle_alpha 90.00
_cell_angle_beta 90.00
_cell_angle_gamma 90.00
_space_group_name_H-M_alt 'P 1'
_space_group_IT_number 1
loop_
_space_group_symop_operation_xyz
'x,y,z'
loop_
_atom_site_label
_atom_site_fract_x
_atom_site_fract_y
_atom_site_fract_z
Al1 0.000 0.000 0.000
Os1 0.000 0.500 0.645
Rh1 0.500 0.000 0.493
Rh2 0.500 0.500 0.135


# AlOs2Rh | Alexandria | PBE | optimized geometry
# space-group type	No. 122
data_AlOs2Rh
_cell_length_a 6.770
_cell_length_b 6.770
_cell_length_c 6.770
_cell_angle_alpha 130.83
_cell_angle_beta 130.83
_cell_angle_gamma 72.09
_space_group_name_H-M_alt 'P 1'
_space_group_IT_number 1
loop_
_space_group_symop_operation_xyz
'x,y,z'
loop_
_atom_site_label
_atom_site_fract_x
_atom_site_fract_y
_atom_site_fract_z
Al1 0.000 0.000 0.000
Al2 0.750 0.250 0.500
Os1 0.139 0.625 0.014
Os2 0.375 0.389 0.514
Os3 0.611 0.125 0.986
Os4 0.875 0.861 0.486
Rh1 0.250 0.750 0.500
Rh2 0.500 0.500 0.000


# AlOsRh2 | Alexandria | PBE | optimized geometry
# space-group type	No. 35
data_AlOsRh2
_cell_length_a 2.734
_cell_length_b 2.734
_cell_length_c 8.794
_cell_angle_alpha 90.00
_cell_angle_beta 90.00
_cell_angle_gamma 118.48
_space_group_name_H-M_alt 'P 1'
_space_group_IT_number 1
loop_
_space_group_symop_operation_xyz
'x,y,z'
loop_
_atom_site_label
_atom_site_fract_x
_atom_site_fract_y
_atom_site_fract_z
Al1 0.000 0.000 0.000
Os1 0.500 0.500 0.756
Rh1 0.000 0.000 0.499
Rh2 0.500 0.500 0.228


# AlOs2Rh | Alexandria | PBE | optimized geometry
# space-group type	No. 160
data_AlOs2Rh
_cell_length_a 8.735
_cell_length_b 8.735
_cell_length_c 8.735
_cell_angle_alpha 18.23
_cell_angle_beta 18.23
_cell_angle_gamma 18.23
_space_group_name_H-M_alt 'P 1'
_space_group_IT_number 1
loop_
_space_group_symop_operation_xyz
'x,y,z'
loop_
_atom_site_label
_atom_site_fract_x
_atom_site_fract_y
_atom_site_fract_z
Al1 0.000 0.000 0.000
Os1 0.501 0.501 0.501
Os2 0.752 0.752 0.752
Rh1 0.255 0.255 0.255


# AlOs2Rh | Alexandria | PBE | optimized geometry
# space-group type	No. 123
data_AlOs2Rh
_cell_length_a 4.450
_cell_length_b 4.450
_cell_length_c 2.875
_cell_angle_alpha 90.00
_cell_angle_beta 90.00
_cell_angle_gamma 90.00
_space_group_name_H-M_alt 'P 1'
_space_group_IT_number 1
loop_
_space_group_symop_operation_xyz
'x,y,z'
loop_
_atom_site_label
_atom_site_fract_x
_atom_site_fract_y
_atom_site_fract_z
Al1 0.000 0.000 0.000
Os1 0.000 0.500 0.500
Os2 0.500 0.000 0.500
Rh1 0.500 0.500 0.000


# AlOs2Rh | Alexandria | PBE | optimized geometry
# space-group type	No. 65
data_AlOs2Rh
_cell_length_a 4.740
_cell_length_b 4.740
_cell_length_c 2.738
_cell_angle_alpha 90.00
_cell_angle_beta 90.00
_cell_angle_gamma 112.08
_space_group_name_H-M_alt 'P 1'
_space_group_IT_number 1
loop_
_space_group_symop_operation_xyz
'x,y,z'
loop_
_atom_site_label
_atom_site_fract_x
_atom_site_fract_y
_atom_site_fract_z
Al1 0.000 0.000 0.000
Os1 0.000 0.500 0.500
Os2 0.500 0.000 0.500
Rh1 0.500 0.500 0.000


# AlOsRh2 | Alexandria | PBE | optimized geometry
# space-group type	No. 12
data_AlOsRh2
_cell_length_a 4.674
_cell_length_b 4.674
_cell_length_c 4.659
_cell_angle_alpha 99.63
_cell_angle_beta 99.63
_cell_angle_gamma 34.31
_space_group_name_H-M_alt 'P 1'
_space_group_IT_number 1
loop_
_space_group_symop_operation_xyz
'x,y,z'
loop_
_atom_site_label
_atom_site_fract_x
_atom_site_fract_y
_atom_site_fract_z
Al1 0.000 0.000 0.000
Os1 0.500 0.500 0.500
Rh1 0.251 0.251 0.747
Rh2 0.749 0.749 0.253


# AlOsRh3 | Alexandria | PBE | optimized geometry
# space-group type	No. 221
data_AlOsRh3
_cell_length_a 4.371
_cell_length_b 4.371
_cell_length_c 4.371
_cell_angle_alpha 90.00
_cell_angle_beta 90.00
_cell_angle_gamma 90.00
_space_group_name_H-M_alt 'P 1'
_space_group_IT_number 1
loop_
_space_group_symop_operation_xyz
'x,y,z'
loop_
_atom_site_label
_atom_site_fract_x
_atom_site_fract_y
_atom_site_fract_z
Al1 0.000 0.000 0.000
Os1 0.500 0.500 0.500
Rh1 0.000 0.000 0.500
Rh2 0.000 0.500 0.000
Rh3 0.500 0.000 0.000


# Al2OsRh | Alexandria | PBE | optimized geometry
# space-group type	No. 99
data_Al2OsRh
_cell_length_a 2.765
_cell_length_b 2.765
_cell_length_c 7.734
_cell_angle_alpha 90.00
_cell_angle_beta 90.00
_cell_angle_gamma 90.00
_space_group_name_H-M_alt 'P 1'
_space_group_IT_number 1
loop_
_space_group_symop_operation_xyz
'x,y,z'
loop_
_atom_site_label
_atom_site_fract_x
_atom_site_fract_y
_atom_site_fract_z
Al1 0.000 0.000 0.000
Al2 0.500 0.500 0.294
Os1 0.000 0.000 0.527
Rh1 0.500 0.500 0.771


# AlOsRh2 | Alexandria | PBE | optimized geometry
# space-group type	No. 123
data_AlOsRh2
_cell_length_a 3.870
_cell_length_b 3.870
_cell_length_c 3.786
_cell_angle_alpha 90.00
_cell_angle_beta 90.00
_cell_angle_gamma 90.00
_space_group_name_H-M_alt 'P 1'
_space_group_IT_number 1
loop_
_space_group_symop_operation_xyz
'x,y,z'
loop_
_atom_site_label
_atom_site_fract_x
_atom_site_fract_y
_atom_site_fract_z
Al1 0.000 0.000 0.000
Os1 0.500 0.500 0.000
Rh1 0.000 0.500 0.500
Rh2 0.500 0.000 0.500


# AlOsRh2 | Alexandria | PBE | optimized geometry
# space-group type	No. 166
data_AlOsRh2
_cell_length_a 8.640
_cell_length_b 8.640
_cell_length_c 8.640
_cell_angle_alpha 18.43
_cell_angle_beta 18.43
_cell_angle_gamma 18.43
_space_group_name_H-M_alt 'P 1'
_space_group_IT_number 1
loop_
_space_group_symop_operation_xyz
'x,y,z'
loop_
_atom_site_label
_atom_site_fract_x
_atom_site_fract_y
_atom_site_fract_z
Al1 0.000 0.000 0.000
Os1 0.500 0.500 0.500
Rh1 0.253 0.253 0.253
Rh2 0.747 0.747 0.747


# Al2OsRh | Alexandria | PBE | optimized geometry
# space-group type	No. 65
data_Al2OsRh
_cell_length_a 2.805
_cell_length_b 2.805
_cell_length_c 8.051
_cell_angle_alpha 90.00
_cell_angle_beta 90.00
_cell_angle_gamma 115.11
_space_group_name_H-M_alt 'P 1'
_space_group_IT_number 1
loop_
_space_group_symop_operation_xyz
'x,y,z'
loop_
_atom_site_label
_atom_site_fract_x
_atom_site_fract_y
_atom_site_fract_z
Al1 0.000 0.000 0.246
Al2 0.000 0.000 0.754
Os1 0.500 0.500 0.500
Rh1 0.500 0.500 0.000


# AlOs2Rh | Alexandria | PBE | optimized geometry
# space-group type	No. 139
data_AlOs2Rh
_cell_length_a 4.768
_cell_length_b 4.768
_cell_length_c 4.768
_cell_angle_alpha 133.03
_cell_angle_beta 133.03
_cell_angle_gamma 68.61
_space_group_name_H-M_alt 'P 1'
_space_group_IT_number 1
loop_
_space_group_symop_operation_xyz
'x,y,z'
loop_
_atom_site_label
_atom_site_fract_x
_atom_site_fract_y
_atom_site_fract_z
Al1 0.000 0.000 0.000
Os1 0.250 0.750 0.500
Os2 0.750 0.250 0.500
Rh1 0.500 0.500 0.000


# Al2OsRh | Alexandria | PBE | optimized geometry
# space-group type	No. 99
data_Al2OsRh
_cell_length_a 3.172
_cell_length_b 3.172
_cell_length_c 5.678
_cell_angle_alpha 90.00
_cell_angle_beta 90.00
_cell_angle_gamma 90.00
_space_group_name_H-M_alt 'P 1'
_space_group_IT_number 1
loop_
_space_group_symop_operation_xyz
'x,y,z'
loop_
_atom_site_label
_atom_site_fract_x
_atom_site_fract_y
_atom_site_fract_z
Al1 0.000 0.000 0.000
Al2 0.500 0.500 0.272
Os1 0.000 0.000 0.473
Rh1 0.500 0.500 0.795


no.,ΔE_f (eV/atom),total moment (μB per formula unit)
1,-0.36,0.0
2,-0.33,0.0
3,1.39,0.0
4,0.00,0.0
5,-0.16,0.0
6,0.10,0.0
7,-0.02,0.0
8,-0.26,0.0
9,1.07,3.8
10,-0.21,0.0
11,-0.18,0.0
12,-0.29,0.0
13,-0.38,0.0
14,-0.07,0.0
15,-0.37,0.0